{
  "formula": "DyY2Mg8",
  "functional": "PBE-GGA",
  "state": "optimized geometry",
  "ef_ev_per_atom": -0.05,
  "dos_at_fermi_per_ev_cell": 6.0,
  "rho_g_cm3": 3.2,
  "cell": [[7.974, -2.522, 0.000], [7.974, 2.522, 0.000], [-2.333, 0.000, 6.937]],
  "species": ["Dy", "Y", "Y", "Mg", "Mg", "Mg", "Mg", "Mg", "Mg", "Mg", "Mg"],
  "fractional_positions": [[0.000, 0.000, 0.000], [0.278, 0.278, 0.359], [0.722, 0.722, 0.641], [0.089, 0.089, 0.464], [0.177, 0.177, 0.895], [0.359, 0.359, 0.849], [0.474, 0.474, 0.282], [0.526, 0.526, 0.718], [0.641, 0.641, 0.151], [0.823, 0.823, 0.105], [0.911, 0.911, 0.536]]
}